No. 1
A plane-wave DFT calculation with PBE was carried out for a relaxed structure of NbPdIN2.

```
NbPdIN2
1.0
-2.8413 0.8149 -2.6909
1.7543 -2.4758 -2.6021
-3.3817 -4.6647 2.1583
Nb I N Pd
1 1 2 1
direct
0.0000 0.0000 0.0000 Nb
0.0000 0.0000 0.5000 I
0.5000 0.0000 0.0000 N
0.0000 0.5000 0.0000 N
0.5000 0.5000 0.5000 Pd
```

Output
D(E_F): 2.77 states/eV/cell
Electronic total energy: -31.04 eV per formula unit
Raw formation energy: 0.484 eV per atom

=====

No. 2
A plane-wave DFT calculation with PBE was carried out for a relaxed structure of NbPtIN2.

```
NbPtIN2
1.0
3.9719 0.0000 0.0000
0.0000 3.9719 0.0000
0.0000 0.0000 6.2597
N Pt I Nb
2 1 1 1
direct
0.0000 0.5000 0.0000 N
0.5000 0.0000 0.0000 N
0.5000 0.5000 0.5000 Pt
0.0000 0.0000 0.5000 I
0.0000 0.0000 0.0000 Nb
```

Output
D(E_F): 2.84 states/eV/cell
Electronic total energy: -30.92 eV per formula unit
Raw formation energy: 0.678 eV per atom

=====

No. 3
A plane-wave DFT calculation with PBE was carried out for a relaxed structure of NbPtI2N.

```
NbPtI2N
1.0
-5.3043 1.4090 -1.1914
-0.8623 -5.0986 -2.1911
-1.1230 -1.2987 3.4641
Pt N I Nb
1 1 2 1
direct
0.5000 0.5000 0.5000 Pt
0.0000 0.0000 0.5000 N
0.0000 0.5000 0.0000 I
0.5000 0.0000 0.0000 I
0.0000 0.0000 0.0000 Nb
```

Output
D(E_F): 5.63 states/eV/cell
Electronic total energy: -24.48 eV per formula unit
Raw formation energy: 0.611 eV per atom

=====

No. 4
A plane-wave DFT calculation with PBE was carried out for a relaxed structure of NbPtI2N.

```
NbPtI2N
1.0
5.7287 0.0000 0.0000
0.0000 5.7287 0.0000
0.0000 0.0000 3.7131
Nb I Pt N
1 2 1 1
direct
0.5000 0.5000 0.5000 Nb
0.0000 0.5000 0.0000 I
0.5000 0.0000 0.0000 I
0.0000 0.0000 0.0000 Pt
0.0000 0.0000 0.5000 N
```

Output
D(E_F): 3.60 states/eV/cell
Electronic total energy: -22.94 eV per formula unit
Raw formation energy: 0.920 eV per atom

=====

No. 5
A plane-wave DFT calculation with PBE was carried out for a relaxed structure of NbPtIN2.

```
NbPtIN2
1.0
-1.8195 2.7570 -2.0176
-3.3321 -1.9367 0.3585
-1.4900 3.7648 6.4884
Nb N I Pt
1 2 1 1
direct
0.5000 0.5000 0.5000 Nb
0.5000 0.0000 0.0000 N
0.0000 0.5000 0.0000 N
0.0000 0.0000 0.5000 I
0.0000 0.0000 0.0000 Pt
```

Output
D(E_F): 4.79 states/eV/cell
Electronic total energy: -26.35 eV per formula unit
Raw formation energy: 1.591 eV per atom

=====

No. 6
A plane-wave DFT calculation with PBE was carried out for a relaxed structure of NbReIN2.

```
NbReIN2
1.0
4.0436 0.0000 0.0000
0.0000 4.0436 0.0000
0.0000 0.0000 5.8986
N Nb I Re
2 1 1 1
direct
0.0000 0.5000 0.0000 N
0.5000 0.0000 0.0000 N
0.0000 0.0000 0.0000 Nb
0.0000 0.0000 0.5000 I
0.5000 0.5000 0.5000 Re
```

Output
D(E_F): 3.45 states/eV/cell
Electronic total energy: -33.66 eV per formula unit
Raw formation energy: 1.413 eV per atom

=====

No. 7
A plane-wave DFT calculation with PBE was carried out for a relaxed structure of NbReIN2.

```
NbReIN2
1.0
-1.7241 3.4835 0.6311
-0.3714 -0.8760 3.8211
5.1137 2.3436 1.0344
Nb Re N I
1 1 2 1
direct
0.5000 0.5000 0.5000 Nb
0.0000 0.0000 0.0000 Re
0.0000 0.5000 0.0000 N
0.5000 0.0000 0.0000 N
0.0000 0.0000 0.5000 I
```

Output
D(E_F): 4.28 states/eV/cell
Electronic total energy: -35.14 eV per formula unit
Raw formation energy: 1.116 eV per atom

=====

No. 8
A plane-wave DFT calculation with PBE was carried out for a relaxed structure of NbRhI2N.

```
NbRhI2N
1.0
-3.1267 -4.2792 1.8161
3.4094 -3.5988 -2.6098
2.0776 -0.2310 3.0326
N Nb I Rh
1 1 2 1
direct
0.0000 0.0000 0.5000 N
0.5000 0.5000 0.5000 Nb
0.0000 0.5000 0.0000 I
0.5000 0.0000 0.0000 I
0.0000 0.0000 0.0000 Rh
```

Output
D(E_F): 4.21 states/eV/cell
Electronic total energy: -24.79 eV per formula unit
Raw formation energy: 0.812 eV per atom

=====

No. 9
A plane-wave DFT calculation with PBE was carried out for a relaxed structure of NbRhI2N.

```
NbRhI2N
1.0
5.6662 0.0000 0.0000
0.0000 5.6662 0.0000
0.0000 0.0000 3.8832
Nb I N Rh
1 2 1 1
direct
0.0000 0.0000 0.0000 Nb
0.5000 0.0000 0.0000 I
0.0000 0.5000 0.0000 I
0.0000 0.0000 0.5000 N
0.5000 0.5000 0.5000 Rh
```

Output
D(E_F): 5.88 states/eV/cell
Electronic total energy: -25.75 eV per formula unit
Raw formation energy: 0.618 eV per atom

=====

No. 10
A plane-wave DFT calculation with PBE was carried out for a relaxed structure of NbRuI2N.

```
NbRuI2N
1.0
5.7365 0.0000 0.0000
0.0000 5.7365 0.0000
0.0000 0.0000 3.8898
Nb N I Ru
1 1 2 1
direct
0.0000 0.0000 0.0000 Nb
0.0000 0.0000 0.5000 N
0.0000 0.5000 0.0000 I
0.5000 0.0000 0.0000 I
0.5000 0.5000 0.5000 Ru
```

Output
D(E_F): 4.07 states/eV/cell
Electronic total energy: -26.54 eV per formula unit
Raw formation energy: 0.846 eV per atom

=====

No. 11
A plane-wave DFT calculation with PBE was carried out for a relaxed structure of NbRuI2N.

```
NbRuI2N
1.0
-0.5235 -3.8028 3.9869
-0.6811 -3.9295 -3.8375
3.6480 -0.5695 -0.0642
Nb I Ru N
1 2 1 1
direct
0.5000 0.5000 0.5000 Nb
0.0000 0.5000 0.0000 I
0.5000 0.0000 0.0000 I
0.0000 0.0000 0.0000 Ru
0.0000 0.0000 0.5000 N
```

Output
D(E_F): 3.38 states/eV/cell
Electronic total energy: -26.83 eV per formula unit
Raw formation energy: 0.789 eV per atom

=====

No. 12
A plane-wave DFT calculation with PBE was carried out for a relaxed structure of NbRuIN2.

```
NbRuIN2
1.0
-3.7027 1.3581 0.7324
-0.9465 -0.4953 -3.8665
-1.8148 -5.5722 1.1581
Ru Nb N I
1 1 2 1
direct
0.5000 0.5000 0.5000 Ru
0.0000 0.0000 0.0000 Nb
0.5000 0.0000 0.0000 N
0.0000 0.5000 0.0000 N
0.0000 0.0000 0.5000 I
```

Output
D(E_F): 6.27 states/eV/cell
Electronic total energy: -32.52 eV per formula unit
Raw formation energy: 1.006 eV per atom